Material: Er6Cd3In
Method: DFT, GGA-PBE
State: relaxed

Cell: 9.3202 5.2203 11.4760 Å, 90.00 106.41 90.00°
Last column: nearest neighbours and their distance in Å.
Space group P2_1/m (No. 11)
Unique sites:
Er (0.0392, 0.2500, 0.4085) x2  6 Cd 3.14-3.39, 2 Er 3.46-3.48
Er (0.1515, 0.7500, 0.1792) x2  5 Cd 3.08-3.29, 1 In 3.13
Er (0.2521, 0.2500, 0.0012) x2  4 Cd 3.16-3.38, 3 In 3.24-3.34
Er (0.3358, 0.7500, 0.8082) x2  3 Cd 3.19-3.28, 3 In 3.25-3.31, 3 Er 3.52-3.56
Er (0.3697, 0.2500, 0.3275) x2  8 Er 3.24-3.59, 3 Cd 3.34-3.46
Er (0.3939, 0.2500, 0.6151) x2  1 In 3.09, 3 Cd 3.09-3.12, 3 Er 3.24-3.36
Cd (0.0292, 0.7500, 0.8809) x2  8 Er 3.08-3.38
Cd (0.1198, 0.2500, 0.7156) x2  8 Er 3.09-3.39
Cd (0.2746, 0.7500, 0.4720) x2  8 Er 3.12-3.46
In (0.4521, 0.7500, 0.1089) x2  8 Er 3.09-3.34

Results
Its density of states at the Fermi level is 0.854 states/eV per atom. As for the crystal system: monoclinic. The calculated volume comes out at 26.8 A^3/atom. Its spin magnetization is 0.000 μB per atom. Its total energy is -3.535 eV/atom.